# HgTe

A relaxed structure of HgTe (GGA-PBE, Alexandria via LeMat-Bulk).

a = 6.8737 Å, b = 6.1226 Å, c = 3.1345 Å
α = 75.17°, β = 76.82°, γ = 84.34°
Last column: nearest neighbours and their distance in Å.
Fractional coordinates of all 4 atoms:
Hg1 0.9728 0.5489 0.7392  5 Hg 3.06-3.27, 1 Te 3.32
Hg2 0.9438 0.0345 0.0108  5 Hg 3.06-3.27, 1 Te 3.32
Te1 0.4689 0.5490 0.4911  3 Te 2.87-3.13
Te2 0.4478 0.0344 0.2589  3 Te 2.87-3.13

Output
As for the space-group type: C2/m, No. 12.

# Hg3Te

A relaxed structure of Hg3Te (GGA-PBE, Alexandria via LeMat-Bulk).

a = 5.3774 Å, b = 5.3774 Å, c = 5.3774 Å
α = 120.28°, β = 120.28°, γ = 89.52°
Last column: nearest neighbours and their distance in Å.
Fractional coordinates of all 4 atoms:
Hg1 0.2500 0.7500 0.5000  4 Hg 3.29, 4 Te 3.29
Hg2 0.7500 0.2500 0.5000  4 Te 3.29, 4 Hg 3.29
Hg3 0.5000 0.5000 0.0000  8 Hg 3.29
Te1 0.0000 0.0000 0.0000  8 Hg 3.29

Output
As for the space-group type: I4/mmm, No. 139. Its energy above the lowest structure with this stoichiometry is 0.0847 eV/atom.

# HgTe

A relaxed structure of HgTe (GGA-PBE, Alexandria via LeMat-Bulk).

a = 4.2525 Å, b = 4.2525 Å, c = 7.4969 Å
α = 90.00°, β = 90.00°, γ = 120.00°
Last column: nearest neighbours and their distance in Å.
Fractional coordinates of all 4 atoms:
Te1 0.3333 0.6667 0.2500  6 Hg 3.09
Hg1 0.0000 0.0000 0.5000  6 Te 3.09
Hg2 0.0000 0.0000 0.0000  6 Te 3.09
Te2 0.6667 0.3333 0.7500  6 Hg 3.09

Output
As for the space-group type: P6_3/mmc, No. 194.

# Hg3Te

A relaxed structure of Hg3Te (GGA-PBE, Alexandria via LeMat-Bulk).

a = 7.4258 Å, b = 7.4258 Å, c = 7.4258 Å
α = 146.71°, β = 147.21°, γ = 47.43°
Last column: nearest neighbours and their distance in Å.
Fractional coordinates of all 4 atoms:
Hg1 0.0000 0.5000 0.5000  4 Te 2.99
Te1 0.5000 0.0000 0.5000  4 Hg 2.99
Hg2 0.2270 0.2270 0.0000  4 Hg 3.05
Hg3 0.7730 0.7730 0.0000  4 Hg 3.05

Output
As for the space-group type: Immm, No. 71. Its energy above the lowest structure with this stoichiometry is 0.0347 eV/atom.

# Hg3Te

A relaxed structure of Hg3Te (GGA-PBE, Alexandria via LeMat-Bulk).

a = 4.4710 Å, b = 6.0460 Å, c = 4.4066 Å
α = 90.00°, β = 90.00°, γ = 90.00°
Last column: nearest neighbours and their distance in Å.
Fractional coordinates of all 4 atoms:
Hg1 0.5000 0.5000 0.6670  2 Hg 3.02, 4 Te 3.14
Hg2 0.5000 0.0000 0.6664  6 Hg 3.02-3.14
Te1 0.0000 0.5000 0.1668  6 Hg 3.02-3.14
Hg3 0.0000 0.0000 0.1665  2 Te 3.02, 4 Hg 3.14

Output
As for the space-group type: Pmmm, No. 47. Its energy above the lowest structure with this stoichiometry is 0.0000 eV/atom.

# Hg3Te

A relaxed structure of Hg3Te (GGA-PBE, Alexandria via LeMat-Bulk).

a = 8.5558 Å, b = 7.0447 Å, c = 8.1048 Å
α = 90.00°, β = 90.00°, γ = 90.00°
Last column: nearest neighbours and their distance in Å.
Fractional coordinates of all 16 atoms:
Hg1 0.3242 0.8087 0.4860  2 Te 3.01-3.02, 2 Hg 3.07-3.10
Hg2 0.6758 0.1913 0.9860  2 Te 3.01-3.02, 2 Hg 3.07-3.10
Te1 0.4289 0.1846 0.2500  4 Hg 3.01-3.02
Te2 0.0711 0.6846 0.2500  4 Hg 3.01-3.02
Hg3 0.1758 0.3087 0.4860  2 Te 3.01-3.02, 2 Hg 3.07-3.10
Hg4 0.8242 0.6913 0.5140  2 Te 3.01-3.02, 2 Hg 3.07-3.10
Hg5 0.8242 0.6913 0.9860  2 Te 3.01-3.02, 2 Hg 3.07-3.10
Hg6 0.5710 0.6368 0.2500  4 Hg 3.07-3.10, 1 Te 3.41
Hg7 0.4290 0.3632 0.7500  4 Hg 3.07-3.10, 1 Te 3.41
Te3 0.5711 0.8154 0.7500  4 Hg 3.01-3.02
Hg8 0.3242 0.8087 0.0140  2 Te 3.01-3.02, 2 Hg 3.07-3.10
Hg9 0.9290 0.1368 0.2500  4 Hg 3.07-3.10, 1 Te 3.41
Hg10 0.6758 0.1913 0.5140  2 Te 3.01-3.02, 2 Hg 3.07-3.10
Hg11 0.1758 0.3087 0.0140  2 Te 3.01-3.02, 2 Hg 3.07-3.10
Te4 0.9289 0.3154 0.7500  4 Hg 3.01-3.02
Hg12 0.0710 0.8632 0.7500  4 Hg 3.07-3.10, 1 Te 3.41

Output
As for the space-group type: Pnma, No. 62. Its energy above the lowest structure with this stoichiometry is 0.0299 eV/atom.

# Hg3Te

A relaxed structure of Hg3Te (GGA-PBE, Alexandria via LeMat-Bulk).

a = 2.9743 Å, b = 5.0408 Å, c = 8.1275 Å
α = 90.00°, β = 90.00°, γ = 90.00°
Last column: nearest neighbours and their distance in Å.
Fractional coordinates of all 4 atoms:
Te1 0.0000 0.0000 0.0579  2 Te 2.97, 2 Hg 3.15
Hg1 0.0000 0.5000 0.2894  2 Hg 2.97, 2 Te 3.15
Hg2 0.5000 0.0000 0.5388  4 Hg 2.97-3.20
Hg3 0.5000 0.5000 0.7805  4 Hg 2.97-3.20

Output
As for the space-group type: Pmm2, No. 25. Its energy above the lowest structure with this stoichiometry is 0.0485 eV/atom.

# HgTe

A relaxed structure of HgTe (GGA-PBE, Alexandria via LeMat-Bulk).

a = 3.0523 Å, b = 3.0523 Å, c = 6.9249 Å
α = 90.00°, β = 90.00°, γ = 90.00°
Last column: nearest neighbours and their distance in Å.
Fractional coordinates of all 2 atoms:
Te1 0.5000 0.5000 0.5000  4 Te 3.05
Hg1 0.0000 0.0000 0.0000  4 Hg 3.05

Output
As for the space-group type: P4/mmm, No. 123.

# Hg3Te

A relaxed structure of Hg3Te (GGA-PBE, Alexandria via LeMat-Bulk).

a = 6.7147 Å, b = 3.1080 Å, c = 6.8981 Å
α = 59.62°, β = 90.00°, γ = 90.00°
Last column: nearest neighbours and their distance in Å.
Fractional coordinates of all 4 atoms:
Te1 0.5000 0.2500 0.2500  2 Hg 2.98, 2 Te 3.11
Hg1 0.5000 0.7500 0.7500  2 Te 2.98, 2 Hg 3.11
Hg2 0.0000 0.5119 0.4968  4 Hg 2.95-3.11
Hg3 0.0000 0.9881 0.0032  4 Hg 2.95-3.11

Output
As for the space-group type: P2/m, No. 10. Its energy above the lowest structure with this stoichiometry is 0.0489 eV/atom.

# HgTe

A relaxed structure of HgTe (GGA-PBE, Alexandria via LeMat-Bulk).

a = 6.0030 Å, b = 6.0030 Å, c = 6.0030 Å
α = 139.49°, β = 109.60°, γ = 84.51°
Last column: nearest neighbours and their distance in Å.
Fractional coordinates of all 4 atoms:
Hg1 0.3774 0.1274 0.7500  2 Hg 3.01, 2 Te 3.11
Hg2 0.6226 0.8726 0.2500  2 Hg 3.01, 2 Te 3.11-3.12
Te1 0.1163 0.3663 0.2500  2 Te 2.93, 2 Hg 3.11
Te2 0.8837 0.6337 0.7500  2 Te 2.93, 2 Hg 3.11-3.12

Output
As for the space-group type: Imma, No. 74.

# Hg3Te

A relaxed structure of Hg3Te (GGA-PBE, Alexandria via LeMat-Bulk).

a = 6.0566 Å, b = 6.0566 Å, c = 6.0566 Å
α = 90.00°, β = 90.00°, γ = 90.00°
Last column: nearest neighbours and their distance in Å.
Fractional coordinates of all 8 atoms:
Hg1 0.0000 0.7500 0.5000  2 Hg 3.03, 4 Te 3.39
Te1 0.0000 0.0000 0.0000  12 Hg 3.39
Te2 0.5000 0.5000 0.5000  12 Hg 3.39
Hg2 0.2500 0.5000 0.0000  2 Hg 3.03, 4 Te 3.39
Hg3 0.7500 0.5000 0.0000  2 Hg 3.03, 4 Te 3.39
Hg4 0.5000 0.0000 0.7500  2 Hg 3.03, 4 Te 3.39
Hg5 0.5000 0.0000 0.2500  2 Hg 3.03, 4 Te 3.39
Hg6 0.0000 0.2500 0.5000  2 Hg 3.03, 4 Te 3.39

Output
As for the space-group type: Pm-3n, No. 223. Its energy above the lowest structure with this stoichiometry is 0.1365 eV/atom.

# Hg3Te

A relaxed structure of Hg3Te (GGA-PBE, Alexandria via LeMat-Bulk).

a = 13.8411 Å, b = 13.8411 Å, c = 13.8411 Å
α = 162.42°, β = 162.42°, γ = 24.96°
Last column: nearest neighbours and their distance in Å.
Fractional coordinates of all 8 atoms:
Hg1 0.7500 0.2500 0.5000  4 Hg 2.99
Hg2 0.8751 0.8751 0.0000  4 Te 2.99
Te1 0.6250 0.6250 0.0000  4 Hg 2.99
Hg3 0.1249 0.1249 0.0000  4 Te 2.99
Te2 0.3750 0.3750 0.0000  4 Hg 2.99
Hg4 0.2500 0.7500 0.5000  4 Hg 2.99
Hg5 0.5000 0.0000 0.5000  4 Hg 2.99
Hg6 0.0000 0.5000 0.5000  4 Hg 2.99

Output
As for the space-group type: I4/mmm, No. 139. Its energy above the lowest structure with this stoichiometry is 0.0310 eV/atom.

# HgTe

A relaxed structure of HgTe (GGA-PBE, Alexandria via LeMat-Bulk).

a = 5.1560 Å, b = 5.1560 Å, c = 12.2617 Å
α = 90.00°, β = 90.00°, γ = 120.00°
Last column: nearest neighbours and their distance in Å.
Fractional coordinates of all 8 atoms:
Hg1 0.6667 0.3333 0.9589  3 Hg 3.14
Hg2 0.3333 0.6667 0.4589  3 Hg 3.14
Te1 0.6667 0.3333 0.2500  3 Te 2.98
Hg3 0.6667 0.3333 0.5411  3 Hg 3.14
Hg4 0.3333 0.6667 0.0411  3 Hg 3.14
Te2 0.3333 0.6667 0.7500  3 Te 2.98
Te3 0.0000 0.0000 0.2500  3 Te 2.98
Te4 0.0000 0.0000 0.7500  3 Te 2.98

Output
As for the space-group type: P6_3/mmc, No. 194.

# HgTe

A relaxed structure of HgTe (GGA-PBE, Alexandria via LeMat-Bulk).

a = 4.8063 Å, b = 4.8199 Å, c = 5.4805 Å
α = 90.00°, β = 89.48°, γ = 90.00°
Last column: nearest neighbours and their distance in Å.
Fractional coordinates of all 4 atoms:
Te1 0.7266 0.7500 0.6812  4 Hg 2.95-3.03
Hg1 0.2336 0.7500 0.0057  4 Te 2.95-3.03, 2 Hg 3.30
Hg2 0.7664 0.2500 0.9943  4 Te 2.95-3.03, 2 Hg 3.30
Te2 0.2734 0.2500 0.3188  4 Hg 2.95-3.03

Output
As for the space-group type: P2_1/m, No. 11.

# HgTe

A relaxed structure of HgTe (GGA-PBE, Alexandria via LeMat-Bulk).

a = 3.0505 Å, b = 3.0505 Å, c = 13.8992 Å
α = 90.00°, β = 90.00°, γ = 90.00°
Last column: nearest neighbours and their distance in Å.
Fractional coordinates of all 4 atoms:
Hg1 0.2500 0.2500 0.1162  4 Hg 3.05
Te1 0.2500 0.2500 0.6462  4 Te 3.05
Te2 0.7500 0.7500 0.3538  4 Te 3.05
Hg2 0.7500 0.7500 0.8838  4 Hg 3.05

Output
As for the space-group type: P4/nmm, No. 129.

# Hg5Te

A relaxed structure of Hg5Te (GGA-PBE, Alexandria via LeMat-Bulk).

a = 7.1271 Å, b = 7.1271 Å, c = 4.3111 Å
α = 90.00°, β = 90.00°, γ = 126.00°
Last column: nearest neighbours and their distance in Å.
Fractional coordinates of all 6 atoms:
Hg1 0.6411 0.3589 0.0000  4 Hg 3.01-3.04
Hg2 0.1377 0.8623 0.5000  2 Te 3.01, 2 Hg 3.01
Te1 0.9722 0.0278 0.0000  4 Hg 3.01
Hg3 0.8068 0.1932 0.5000  2 Te 3.01, 2 Hg 3.01
Hg4 0.4722 0.5278 0.5000  4 Hg 3.04
Hg5 0.3034 0.6966 0.0000  4 Hg 3.01-3.04

Output
As for the space-group type: Cmmm, No. 65. Its energy above the lowest structure with this stoichiometry is 0.0253 eV/atom.

# Hg3Te

A relaxed structure of Hg3Te (GGA-PBE, Alexandria via LeMat-Bulk).

a = 6.2606 Å, b = 6.2606 Å, c = 6.2606 Å
α = 150.83°, β = 100.47°, γ = 86.85°
Last column: nearest neighbours and their distance in Å.
Fractional coordinates of all 4 atoms:
Te1 0.6846 0.0000 0.6846  6 Hg 3.11-3.37, 2 Te 3.15
Hg1 0.2135 0.5000 0.7135  8 Hg 3.15-3.30
Hg2 0.7330 0.7654 0.9676  3 Te 3.11-3.37, 5 Hg 3.15-3.30
Hg3 0.2022 0.2346 0.9676  3 Te 3.11-3.37, 5 Hg 3.15-3.30

Output
As for the space-group type: Imm2, No. 44. Its energy above the lowest structure with this stoichiometry is 0.0707 eV/atom.

# Hg4Te3

A relaxed structure of Hg4Te3 (GGA-PBE, Alexandria via LeMat-Bulk).

a = 12.1028 Å, b = 12.1028 Å, c = 12.1028 Å
α = 159.46°, β = 159.46°, γ = 29.20°
Last column: nearest neighbours and their distance in Å.
Fractional coordinates of all 7 atoms:
Te1 0.0000 0.0000 0.0000  8 Hg 3.34
Te2 0.3239 0.3239 0.0000  5 Hg 2.76-3.05
Hg1 0.1770 0.1770 0.0000  4 Te 3.05
Hg2 0.4419 0.4419 0.0000  1 Hg 2.72, 1 Te 2.76
Te3 0.6761 0.6761 0.0000  5 Hg 2.76-3.05
Hg3 0.8230 0.8230 0.0000  4 Te 3.05
Hg4 0.5581 0.5581 0.0000  1 Hg 2.72, 1 Te 2.76

Output
As for the space-group type: I4/mmm, No. 139. Its energy above the lowest structure with this stoichiometry is 0.0000 eV/atom.

# HgTe

A relaxed structure of HgTe (GGA-PBE, Alexandria via LeMat-Bulk).

a = 3.8047 Å, b = 3.8047 Å, c = 3.8047 Å
α = 90.00°, β = 90.00°, γ = 90.00°
Last column: nearest neighbours and their distance in Å.
Fractional coordinates of all 2 atoms:
Te1 0.5000 0.5000 0.5000  8 Hg 3.29
Hg1 0.0000 0.0000 0.0000  8 Te 3.29

Output
As for the space-group type: Pm-3m, No. 221.

# Hg4Te5

A relaxed structure of Hg4Te5 (GGA-PBE, Alexandria via LeMat-Bulk).

a = 8.5376 Å, b = 8.5376 Å, c = 8.5376 Å
α = 92.89°, β = 92.89°, γ = 154.07°
Last column: nearest neighbours and their distance in Å.
Fractional coordinates of all 9 atoms:
Hg1 0.0000 0.3417 0.3417  4 Hg 3.26, 4 Te 3.43
Hg2 0.3417 0.0000 0.3417  4 Hg 3.26, 4 Te 3.43
Te1 0.6826 0.3174 0.0000  2 Te 2.95
Hg3 0.0000 0.6583 0.6583  4 Hg 3.26, 4 Te 3.43
Hg4 0.6583 0.0000 0.6583  4 Hg 3.26, 4 Te 3.43
Te2 0.3174 0.6826 0.0000  2 Te 2.95
Te3 0.3174 0.3174 0.6348  2 Te 2.95
Te4 0.6826 0.6826 0.3652  2 Te 2.95
Te5 0.0000 0.0000 0.0000  10 Te 3.59-3.83, 4 Hg 4.02

Output
As for the space-group type: I4/mmm, No. 139.

So what do the calculations give for E_form (uncorrected)? Going down the list: 0.1 0.3 0.1 0.1 0.0 0.1 0.2 0.1 0.2 0.2 0.5 0.1 0.4 0.0 0.1 0.2 0.2 0.1 0.5 1.3 eV/f.u..
So what do the calculations give for magnetization? Going down the list: 0.00 0.00 0.00 0.00 0.00 0.00 0.00 0.00 0.00 0.00 0.00 0.00 0.00 0.00 0.00 0.00 0.00 0.00 0.00 0.00 Bohr magnetons per cell.